Computed, not measured: a geometry-optimized TmCr2F8 structure at the PBE+U level of DFT.

Geometry as POSCAR:
```
TmCr2F8
1.0
4.386 0.047 0.066
-0.012 6.198 -3.521
0.146 -0.688 6.005
Cr Tm F
2 1 8
direct
0.259 0.380 0.761
0.741 0.620 0.239
0.000 0.000 0.000
0.246 0.589 0.178
0.754 0.411 0.822
0.755 0.881 0.210
0.258 0.180 0.361
0.244 0.670 0.789
0.245 0.119 0.790
0.742 0.820 0.639
0.756 0.330 0.211
```

Results
Space-group type: C2/m, No. 12
Crystal system: monoclinic
Relative energy among the computed polymorphs: 0.000 eV/atom